Entry 1:
Tm4CdPb3: relaxed, PBE-GGA.

Cell and atoms, written as extended XYZ:
```
8
Lattice="4.420 0.000 0.000 0.000 4.415 0.000 0.000 0.000 11.490" Properties=species:S:1:pos:R:3 pbc="T T T"
Tm 2.210 2.208 4.184
Tm 0.000 2.208 10.006
Tm 0.000 0.000 1.507
Tm 2.210 0.000 7.258
Cd 2.210 2.208 1.052
Pb 0.000 2.208 6.938
Pb 0.000 0.000 4.575
Pb 2.210 0.000 10.441
```

## Properties
**Final energy**: -4.101 eV/atom

---

Entry 2:
Tm2CdPb: relaxed, PBE-GGA.

Cell and atoms, written as extended XYZ:
```
4
Lattice="-1.371 -4.014 -0.836 4.611 -1.362 -1.020 0.684 -1.215 4.713" Properties=species:S:1:pos:R:3 pbc="T T T"
Pb 1.962 -3.296 1.429
Tm 0.342 -0.608 2.357
Tm 2.306 -0.681 -0.510
Cd -0.685 -2.007 -0.418
```

## Properties
**Final energy**: -3.735 eV/atom

---

Entry 3:
Tm3Cd2Pb: relaxed, PBE-GGA.

Cell and atoms, written as extended XYZ:
```
12
Lattice="3.777 0.000 0.000 0.000 5.219 0.000 0.000 0.000 15.767" Properties=species:S:1:pos:R:3 pbc="T T T"
Tm 1.888 2.609 10.535
Tm 1.891 0.000 7.884
Tm 1.888 2.609 5.233
Tm 1.889 0.000 2.651
Tm 1.886 2.609 0.000
Tm 1.889 0.000 13.116
Cd 3.776 0.000 10.621
Cd 3.776 0.000 5.146
Cd 0.000 2.609 2.738
Cd 0.000 2.609 13.030
Pb 0.001 2.609 7.884
Pb 3.776 0.000 0.000
```

## Properties
**Energy above the lowest structure with this stoichiometry**: 0.00 eV/f.u.
**Final energy**: -3.494 eV/atom

---

Short version: density = 10.4; 10.5; 10.0 Mg/m³, in the order given.